# 1
DFT (PBE) results for an optimized crystal structure of CsBa2LaMn.

Properties
* energy of formation: 1.3341 eV/atom

abc: 6.5787 4.9415 6.5787
angles: 90.00 90.00 90.00
Fractional coordinates of all 5 atoms:
Ba (0.5000, 0.0000, 0.0000)
Ba (0.0000, 0.0000, 0.5000)
La (0.5000, 0.5000, 0.5000)
Mn (0.0000, 0.5000, 0.0000)
Cs (0.0000, 0.0000, 0.0000)



# 2
DFT (PBE) results for an optimized crystal structure of CsBaLaO2.

Properties
* uncorrected formation energy: -0.86 eV per atom

abc: 4.8056 6.6504 4.8056
angles: 90.00 90.00 90.00
Fractional coordinates of all 5 atoms:
O (0.5000, 0.0000, 0.0000)
O (0.0000, 0.0000, 0.5000)
La (0.0000, 0.0000, 0.0000)
Ba (0.0000, 0.5000, 0.0000)
Cs (0.5000, 0.5000, 0.5000)



# 3
DFT (PBE) results for an optimized crystal structure of CsBaLaO3.

Properties
* uncorrected formation energy: -2.45 eV per atom

abc: 3.9466 6.5492 10.4856
angles: 100.82 90.00 90.00
Fractional coordinates of all 12 atoms:
Cs (0.2500, 0.3491, 0.3164)
Cs (0.7500, 0.6509, 0.6836)
La (0.2500, 0.7579, 0.0299)
La (0.7500, 0.2421, 0.9701)
O (0.2500, 0.4386, 0.8874)
O (0.7500, 0.5614, 0.1126)
O (0.7500, 0.0179, 0.1164)
O (0.2500, 0.7829, 0.4790)
O (0.7500, 0.2171, 0.5210)
O (0.2500, 0.9821, 0.8836)
Ba (0.7500, 0.8639, 0.3508)
Ba (0.2500, 0.1361, 0.6492)



# 4
DFT (PBE) results for an optimized crystal structure of CsBaLa2Ru.

Properties
* energy of formation: 0.1056 eV/atom

abc: 5.5779 5.5779 6.7798
angles: 90.00 90.00 90.00
Fractional coordinates of all 5 atoms:
Cs (0.5000, 0.5000, 0.5000)
Ru (0.0000, 0.0000, 0.0000)
Ba (0.0000, 0.0000, 0.5000)
La (0.5000, 0.0000, 0.0000)
La (0.0000, 0.5000, 0.0000)



# 5
DFT (PBE) results for an optimized crystal structure of Cs3BaLa2S6.

Properties
* uncorrected formation energy: -1.67 eV per atom

abc: 7.7441 7.7441 8.4614
angles: 98.79 98.79 120.00
Fractional coordinates of all 12 atoms:
S (0.4233, 0.0642, 0.1920)
S (0.2954, 0.2954, 0.8102)
S (0.5767, 0.9358, 0.8079)
S (0.0642, 0.4233, 0.1920)
S (0.7046, 0.7046, 0.1898)
S (0.9358, 0.5767, 0.8079)
Cs (0.8381, 0.1619, 0.5000)
Cs (0.5000, 0.5000, 0.5000)
Cs (0.1619, 0.8381, 0.5000)
Ba (0.0000, 0.0000, 0.0000)
La (0.6673, 0.3327, 0.0000)
La (0.3327, 0.6673, 0.0000)



# 6
DFT (PBE) results for an optimized crystal structure of CsBa3Li.

Properties
* energy of formation: 0.7142 eV/atom

abc: 6.7059 6.7059 6.7059
angles: 90.00 90.00 90.00
Fractional coordinates of all 5 atoms:
Ba (0.5000, 0.0000, 0.0000)
Ba (0.0000, 0.5000, 0.0000)
Ba (0.0000, 0.0000, 0.5000)
Li (0.5000, 0.5000, 0.5000)
Cs (0.0000, 0.0000, 0.0000)



# 7
DFT (PBE) results for an optimized crystal structure of CsBaLi4.

Properties
* energy of formation: 0.1456 eV/atom

abc: 6.8524 6.8524 6.8524
angles: 60.00 60.00 60.00
Fractional coordinates of all 6 atoms:
Li (0.6271, 0.6271, 0.6271)
Li (0.6271, 0.1186, 0.6271)
Li (0.6271, 0.6271, 0.1186)
Li (0.1186, 0.6271, 0.6271)
Ba (0.0000, 0.0000, 0.0000)
Cs (0.2500, 0.2500, 0.2500)



# 8
DFT (PBE) results for an optimized crystal structure of CsBa3Li.

Properties
* energy of formation: 0.1801 eV/atom

abc: 6.9991 6.9991 6.9991
angles: 90.00 90.00 90.00
Fractional coordinates of all 5 atoms:
Ba (0.0000, 0.5000, 0.0000)
Ba (0.0000, 0.0000, 0.5000)
Ba (0.5000, 0.0000, 0.0000)
Cs (0.5000, 0.5000, 0.5000)
Li (0.0000, 0.0000, 0.0000)



# 9
DFT (PBE) results for an optimized crystal structure of CsBaLiMg2.

Properties
* energy of formation: 0.2380 eV/atom

abc: 5.8165 6.0688 5.8165
angles: 90.00 90.00 90.00
Fractional coordinates of all 5 atoms:
Cs (0.5000, 0.5000, 0.5000)
Mg (0.0000, 0.0000, 0.5000)
Mg (0.5000, 0.0000, 0.0000)
Ba (0.0000, 0.5000, 0.0000)
Li (0.0000, 0.0000, 0.0000)



# 10
DFT (PBE) results for an optimized crystal structure of CsBaLi2Mo.

Properties
* energy of formation: 0.9091 eV/atom

abc: 5.7763 5.7945 5.7763
angles: 90.00 90.00 90.00
Fractional coordinates of all 5 atoms:
Mo (0.0000, 0.0000, 0.0000)
Li (0.0000, 0.0000, 0.5000)
Li (0.5000, 0.0000, 0.0000)
Ba (0.0000, 0.5000, 0.0000)
Cs (0.5000, 0.5000, 0.5000)



# 11
DFT (PBE) results for an optimized crystal structure of CsBaLi2N.

Properties
* uncorrected formation energy: 0.67 eV per atom

abc: 7.1275 4.6476 7.1275
angles: 90.00 90.00 90.00
Fractional coordinates of all 5 atoms:
Ba (0.0000, 0.0000, 0.0000)
N (0.0000, 0.5000, 0.0000)
Li (0.5000, 0.0000, 0.0000)
Li (0.0000, 0.0000, 0.5000)
Cs (0.5000, 0.5000, 0.5000)



# 12
DFT (PBE) results for an optimized crystal structure of CsBaNa2Li.

Properties
* energy of formation: 0.1669 eV/atom

abc: 6.3863 6.3863 6.6829
angles: 90.00 90.00 90.00
Fractional coordinates of all 5 atoms:
Cs (0.5000, 0.5000, 0.5000)
Li (0.0000, 0.0000, 0.0000)
Ba (0.0000, 0.0000, 0.5000)
Na (0.5000, 0.0000, 0.0000)
Na (0.0000, 0.5000, 0.0000)



no.,total moment (μB per formula unit),electronic total energy (eV/atom)
1,0.01,-2.425
2,0.00,-4.383
3,0.00,-6.216
4,0.00,-4.276
5,0.61,-4.928
6,0.00,-0.993
7,0.00,-1.593
8,0.00,-1.527
9,0.00,-1.338
10,2.50,-2.578
11,0.00,-2.316
12,0.00,-1.299